1.
Here is a relaxed structure of Tb2Be4GePt3 from the Alexandria database. Energies are from PBE.

```
Tb2Be4GePt3
1.0
3.9643 0.0000 0.0000
0.0000 3.9643 0.0000
0.0000 0.0000 9.8644
Tb Be Ge Pt
2 4 1 3
Cartesian
0.0000 1.9822 2.4465
1.9822 0.0000 7.4179
0.0000 0.0000 0.0000
0.0000 1.9822 6.3114
1.9822 0.0000 3.5531
1.9822 1.9822 0.0000
0.0000 0.0000 4.9322
0.0000 1.9822 8.6695
1.9822 0.0000 1.1949
1.9822 1.9822 4.9322
```

Summary:
SG: P-4m2, No. 115
formation enthalpy at 0 K: -0.760 eV per atom


2.
Here is a relaxed structure of CeTlP from the Alexandria database. Energies are from PBE.

```
CeTlP
1.0
4.1336 0.0000 0.0000
2.0554 4.4117 0.0000
2.0560 -0.3061 8.9442
Ce Tl P
2 2 2
Cartesian
0.0000 0.0000 0.0000
4.1115 2.4887 5.6451
2.0673 1.6656 2.0856
6.1814 4.2686 3.6147
2.0442 0.8121 6.3013
6.1787 2.4353 7.8613
```

Summary:
SG: P1, No. 1
formation enthalpy at 0 K: -0.558 eV per atom


3.
Here is a relaxed structure of PrTm3S6 from the Alexandria database. Energies are from PBE.

```
PrTm3S6
1.0
11.0043 0.0000 0.0000
0.0000 3.9617 0.0000
-3.6421 0.0000 10.6649
Pr Tm S
2 6 12
Cartesian
-0.1659 0.9904 2.0892
7.5281 2.9713 8.5757
-0.3666 0.9904 6.2655
-0.1116 2.9713 10.6520
3.6573 0.9904 3.5526
3.7049 2.9713 7.1123
7.4738 0.9904 0.0129
7.7288 2.9713 4.3994
-0.5817 2.9713 4.3489
-2.1862 0.9904 10.2780
-0.5430 2.9713 7.9854
2.1096 2.9713 2.4392
2.3040 0.9904 5.9498
4.8512 0.9904 1.1885
2.5110 2.9713 9.4764
5.0582 2.9713 4.7151
5.2526 0.9904 8.2257
7.9052 0.9904 2.6795
9.5484 2.9713 0.3868
7.9439 0.9904 6.3160
```

Summary:
SG: P2_1/m, No. 11
energy relative to the elements, uncorrected: -2.089 eV/atom


4.
Here is a relaxed structure of CaTb2PaN4 from the Alexandria database. Energies are from PBE.

```
CaTb2PaN4
1.0
6.0089 0.0000 0.0000
0.0000 3.5286 0.0000
-1.9251 0.0000 5.7220
Ca Tb Pa N
1 2 1 4
Cartesian
0.0000 0.0000 0.0000
-0.9625 1.7643 2.8610
2.0419 0.0000 2.8610
3.0044 1.7643 0.0000
0.1245 0.0000 4.3270
1.1894 1.7643 1.3900
2.8943 1.7643 4.3320
3.9593 0.0000 1.3951
```

Summary:
SG: P2/m, No. 10
energy relative to the elements, uncorrected: -1.560 eV/atom


5.
Here is a relaxed structure of Y2Ho2Er4Tm from the Alexandria database. Energies are from PBE.

```
Y2Ho2Er4Tm
1.0
8.4485 -1.7742 0.0000
8.4485 1.7742 0.0000
-1.8371 0.0000 9.3808
Y Ho Er Tm
2 2 4 1
Cartesian
2.4289 0.0000 0.8307
12.6310 0.0000 8.5501
4.6222 0.0000 5.4157
10.4377 0.0000 3.9651
1.6246 0.0000 6.9267
7.8495 0.0000 1.6416
7.2104 0.0000 7.7392
13.4354 0.0000 2.4541
-0.9186 0.0000 4.6904
```

Summary:
SG: C2/m, No. 12
formation enthalpy at 0 K: 0.023 eV per atom


6.
Here is a relaxed structure of Nd3Sm4Dy from the Alexandria database. Energies are from PBE.

```
Nd3Sm4Dy
1.0
11.7342 0.0000 0.0000
0.0000 7.3669 0.0000
0.0000 0.0000 6.3660
Nd Sm Dy
6 8 2
Cartesian
0.0000 0.9239 0.0000
2.9317 0.9199 2.1197
2.9354 6.4470 5.3027
5.8671 6.4430 3.1830
8.8025 0.9199 2.1197
8.7988 6.4470 5.3027
0.0000 2.7627 3.1894
0.0000 4.5964 6.3607
2.9109 4.6029 2.1203
2.9562 2.7641 5.3033
5.8671 2.7705 3.1778
5.8671 4.6042 0.0064
8.7780 2.7641 5.3033
8.8233 4.6029 2.1203
0.0000 6.4356 3.1780
5.8671 0.9313 6.3610
```

Summary:
SG: Pmn2_1, No. 31
formation enthalpy at 0 K: 0.030 eV per atom